# 1
# CaFe2Cu, relaxed, DFT PBE
data_CaFe2Cu
_chemical_formula_sum 'Ca2 Fe4 Cu2'
_symmetry_space_group_name_H-M 'I 4/m m m'
_symmetry_Int_Tables_number 139
_symmetry_space_group_name_Hall '-I 4 2'
_cell_length_a 3.814
_cell_length_b 3.814
_cell_length_c 8.744
_cell_angle_alpha 90.00
_cell_angle_beta 90.00
_cell_angle_gamma 90.00
loop_
_atom_site_label
_atom_site_type_symbol
_atom_site_fract_x
_atom_site_fract_y
_atom_site_fract_z
Ca1 Ca 0.000 0.000 0.000
Fe1 Fe 0.000 0.500 0.250
Cu1 Cu 0.000 0.000 0.500
# - Fermi-level density of states: 4.34 states/eV/f.u.
# - Spin magnetization: 10.17 Bohr magnetons per cell
# - Calculated volume: 15.90 Å³/atom
# - Calculated density: 5.6 g cm⁻³
# - Energy relative to the elements: 0.50 eV/atom


# 2
# FeHIrW2, relaxed, DFT PBE
data_FeHIrW2
_chemical_formula_sum 'Fe1 H1 Ir1 W2'
_symmetry_space_group_name_H-M 'P 4/m m m'
_symmetry_Int_Tables_number 123
_symmetry_space_group_name_Hall '-P 4 2'
_cell_length_a 3.953
_cell_length_b 3.953
_cell_length_c 3.785
_cell_angle_alpha 90.00
_cell_angle_beta 90.00
_cell_angle_gamma 90.00
loop_
_atom_site_label
_atom_site_type_symbol
_atom_site_fract_x
_atom_site_fract_y
_atom_site_fract_z
Fe1 Fe 0.000 0.000 0.000
H1 H 0.000 0.000 0.500
Ir1 Ir 0.500 0.500 0.000
W1 W 0.000 0.500 0.500
# - Fermi-level density of states: 1.56 states/eV/f.u.
# - Spin magnetization: 0.00 Bohr magnetons per cell
# - Calculated total energy: -46.63 eV/cell
# - Calculated volume: 11.83 Å³/atom
# - Calculated density: 17.3 g cm⁻³